# 1
Entry from the Alexandria database: a geometry-optimized BeTeRh structure (GGA-PBE).

Lattice parameters (Å, degrees): 3.218 3.218 5.573 90.00 90.00 120.00
Fractional positions:
Be (0.000, 0.000, 0.041)
Te (0.333, 0.667, 0.659)
Rh (0.667, 0.333, 0.301)

The space-group type is P3m1. The calculation puts the density of states at the Fermi level at 1.94 states/eV/f.u. The energy relative to the lowest polymorph listed for this composition comes out at 6.93 kcal/mol of atoms.

***

# 2
Entry from the Alexandria database: a geometry-optimized BeTe2Rh structure (GGA-PBE).

Lattice parameters (Å, degrees): 4.816 4.816 4.816 60.00 60.00 60.00
Fractional positions:
Be (0.500, 0.500, 0.500)
Te (0.000, 0.000, 0.000)
Te (0.250, 0.250, 0.250)
Rh (0.750, 0.750, 0.750)

The space-group type is F-43m. The value obtained for the total energy is -3.6521 eV/atom. The calculation puts the density of states at the Fermi level at 2.53 states/eV/f.u.

***

# 3
Entry from the Alexandria database: a geometry-optimized BeTeRh3 structure (GGA-PBE).

Lattice parameters (Å, degrees): 4.245 4.245 4.245 90.00 90.00 90.00
Last column: magnetic moment on the atom in μB.
Fractional positions:
Be (0.000, 0.000, 0.000)  -0.02
Te (0.500, 0.500, 0.500)  0.06
Rh (0.000, 0.500, 0.000)  0.56
Rh (0.000, 0.000, 0.500)  0.37
Rh (0.500, 0.000, 0.000)  0.48

The space-group type is Pm-3m. The calculation puts the density of states at the Fermi level at 4.41 states/eV/f.u. The energy relative to the lowest polymorph listed for this composition comes out at 0.00 kcal/mol of atoms.

***

# 4
Entry from the Alexandria database: a geometry-optimized BeTe2Rh structure (GGA-PBE).

Lattice parameters (Å, degrees): 3.231 3.231 7.940 90.00 90.00 90.00
Fractional positions:
Be (0.000, 0.000, 0.578)
Te (0.000, 0.000, 0.905)
Te (0.500, 0.500, 0.343)
Rh (0.500, 0.500, 0.674)

The space-group type is P4mm. The value obtained for the total energy is -4.4114 eV/atom. The calculation puts the density of states at the Fermi level at 4.44 states/eV/f.u.

***

# 5
Entry from the Alexandria database: a geometry-optimized BeTeRh structure (GGA-PBE).

Lattice parameters (Å, degrees): 4.208 4.208 4.208 60.00 60.00 60.00
Fractional positions:
Be (0.500, 0.500, 0.500)
Te (0.000, 0.000, 0.000)
Rh (0.750, 0.750, 0.750)

The space-group type is F-43m. The calculation puts the density of states at the Fermi level at 1.25 states/eV/f.u. The energy relative to the lowest polymorph listed for this composition comes out at 0.00 kcal/mol of atoms.

***

# 6
Entry from the Alexandria database: a geometry-optimized BeTeRh2 structure (GGA-PBE).

Lattice parameters (Å, degrees): 4.424 4.424 4.424 60.00 60.00 60.00
Fractional positions:
Be (0.500, 0.500, 0.500)
Te (0.750, 0.750, 0.750)
Rh (0.000, 0.000, 0.000)
Rh (0.250, 0.250, 0.250)

The space-group type is F-43m. The calculation puts the density of states at the Fermi level at 2.02 states/eV/f.u. The energy relative to the lowest polymorph listed for this composition comes out at 11.88 kcal/mol of atoms.

***

# 7
Entry from the Alexandria database: a geometry-optimized BeTe2Rh structure (GGA-PBE).

Lattice parameters (Å, degrees): 3.758 5.936 3.744 90.00 90.00 90.00
Fractional positions:
Be (0.500, 0.000, 0.500)
Te (0.000, 0.000, 0.000)
Te (0.500, 0.500, 0.000)
Rh (0.000, 0.500, 0.500)

The space-group type is Pmmm. The value obtained for the total energy is -3.9204 eV/atom. The calculation puts the density of states at the Fermi level at 2.76 states/eV/f.u.

***

# 8
Entry from the Alexandria database: a geometry-optimized BeTe2Rh structure (GGA-PBE).

Lattice parameters (Å, degrees): 6.992 6.992 6.992 148.69 150.23 43.75
Fractional positions:
Be (0.572, 0.572, 0.000)
Te (0.005, 0.005, 0.000)
Te (0.260, 0.760, 0.500)
Rh (0.662, 0.162, 0.500)

The space-group type is Imm2. The value obtained for the total energy is -4.3852 eV/atom. The calculation puts the density of states at the Fermi level at 2.67 states/eV/f.u.